# 1
MgCuTc2 | meta-GGA SCAN | PBEsol geometry

Unit cell a=2.6896 b=2.6896 c=9.1565 alpha=81.55 beta=81.55 gamma=60.00
Last column: nearest neighbours and their distance in Å.
Sites, in units of the cell vectors:
1 Tc 0.7540 0.7540 0.7379  3 Cu 2.65, 6 Tc 2.69, 3 Mg 2.83
2 Tc 0.2460 0.2460 0.2621  3 Cu 2.65, 6 Tc 2.69, 3 Mg 2.83
3 Cu 0.5000 0.5000 0.5000  6 Tc 2.65, 6 Cu 2.69
4 Mg 0.0000 0.0000 0.0000  6 Mg 2.69, 6 Tc 2.83

## Properties
**Fermi-level density of states**: 3.328 states/eV per cell
**E_tot**: -1.6358 Ry per atom
**ΔH_f (0 K)**: 0.3176 eV/atom
**Space group**: No. 166
**Crystal system**: trigonal

# 2
InSi2CCl | meta-GGA SCAN | PBEsol geometry

Unit cell a=4.1168 b=4.6800 c=4.6800 alpha=90.00 beta=90.00 gamma=90.00
Last column: nearest neighbours and their distance in Å.
Sites, in units of the cell vectors:
1 C 0.5000 0.0000 0.0000  2 Cl 2.06
2 Cl 0.0000 0.0000 0.0000  2 C 2.06
3 Si 0.0000 0.5000 0.0000  2 Cl 2.34
4 In 0.5000 0.5000 0.5000  8 Si 3.12, 4 C 3.31
5 Si 0.0000 0.0000 0.5000  2 Cl 2.34

## Properties
**Fermi-level density of states**: 2.017 states/eV per cell
**E_tot**: -0.9113 Ry per atom
**Energy relative to the elements, uncorrected**: 1.901 eV/atom
**Space group**: No. 123
**Crystal system**: tetragonal

# 3
LiCa4Sc | meta-GGA SCAN | PBEsol geometry

Unit cell a=6.8207 b=6.8207 c=6.8207 alpha=60.00 beta=60.00 gamma=60.00
Last column: nearest neighbours and their distance in Å.
Sites, in units of the cell vectors:
1 Ca 0.8773 0.3742 0.3742  6 Ca 3.39-3.43
2 Li 0.7500 0.7500 0.7500  12 Ca 4.00, 4 Sc 4.18
3 Sc 0.0000 0.0000 0.0000  12 Ca 4.00, 4 Li 4.18
4 Ca 0.3742 0.3742 0.3742  6 Ca 3.39-3.43
5 Ca 0.3742 0.8773 0.3742  6 Ca 3.39-3.43
6 Ca 0.3742 0.3742 0.8773  6 Ca 3.39-3.43

## Properties
**Fermi-level density of states**: 7.151 states/eV per cell
**E_tot**: -0.6446 Ry per atom
**ΔH_f (0 K)**: 0.4432 eV/atom
**Space group**: No. 216
**Crystal system**: cubic

# 4
BaZr2TaF | meta-GGA SCAN | PBEsol geometry

Unit cell a=4.3723 b=5.4321 c=5.4321 alpha=90.00 beta=90.00 gamma=90.00
Last column: nearest neighbours and their distance in Å.
Sites, in units of the cell vectors:
1 Ba 0.0000 0.0000 0.0000  2 F 2.19
2 Zr 0.0000 0.5000 0.0000  2 Ba 2.72
3 Zr 0.0000 0.0000 0.5000  2 Ba 2.72
4 F 0.5000 0.0000 0.0000  2 Ba 2.19
5 Ta 0.5000 0.5000 0.5000  8 Zr 3.49, 4 F 3.84

## Properties
**Fermi-level density of states**: 5.496 states/eV per cell
**E_tot**: -2.4214 Ry per atom
**Energy relative to the elements, uncorrected**: 1.269 eV/atom
**Space group**: No. 123
**Crystal system**: tetragonal